Record 1
Ac3Ge5Ir6 (PBE, relaxed); spin magnetization = 0.000 μB per formula unit; formation energy from the elements = -674 meV/atom; space-group type = Pmmn (59); E_tot = -7.001 eV per atom
1.0
4.208 0.000 0.000
0.000 12.819 0.000
0.000 0.000 10.580
Ac Ge Ir
6 10 12
Direct
0.250 0.096 0.243
0.250 0.404 0.243
0.250 0.750 0.244
0.750 0.250 0.756
0.750 0.596 0.757
0.750 0.904 0.757
0.250 0.075 0.643
0.250 0.425 0.643
0.250 0.622 0.992
0.250 0.750 0.602
0.250 0.878 0.992
0.750 0.122 0.008
0.750 0.250 0.398
0.750 0.378 0.008
0.750 0.575 0.357
0.750 0.925 0.357
0.250 0.052 0.889
0.250 0.250 0.524
0.250 0.250 0.998
0.250 0.448 0.889
0.250 0.579 0.488
0.250 0.921 0.488
0.750 0.079 0.512
0.750 0.421 0.512
0.750 0.552 0.111
0.750 0.750 0.002
0.750 0.750 0.476
0.750 0.948 0.111

Record 2
La3Ce4Ga4 (PBE, relaxed); spin magnetization = 1.303 μB per formula unit; formation energy from the elements = -329 meV/atom; space-group type = Immm (71); E_tot = -4.932 eV per atom
1.0
-2.355 4.050 8.121
2.355 -4.050 8.121
2.355 4.050 -8.121
La Ce Ga
3 4 4
Direct
0.000 0.000 0.000
0.385 0.885 0.500
0.615 0.115 0.500
0.004 0.336 0.668
0.332 0.664 0.668
0.668 0.336 0.332
0.996 0.664 0.332
0.238 0.238 0.000
0.334 0.500 0.834
0.666 0.500 0.166
0.762 0.762 0.000

Record 3
Sm2HoErS5 (PBE, relaxed); spin magnetization = 0.000 μB per formula unit; space-group type = P4/mmm (123); formation energy without anion corrections = -1.41 eV/atom; E_tot = -5.770 eV per atom
1.0
4.842 0.000 0.000
0.000 4.842 0.000
0.000 0.000 10.180
Sm Ho Er S
2 1 1 5
Direct
0.000 0.000 0.201
0.000 0.000 0.799
0.500 0.500 0.500
0.500 0.500 0.000
0.000 0.000 0.500
0.000 0.500 0.000
0.500 0.000 0.000
0.500 0.500 0.255
0.500 0.500 0.745

Record 4
TcGeTe2 (PBE, relaxed); spin magnetization = 0.000 μB per formula unit; space-group type = R-3m (166); formation energy without anion corrections = 0.90 eV/atom; E_tot = -4.421 eV per atom
1.0
1.850 1.068 8.761
-1.850 1.068 8.761
0.000 -2.137 8.761
Tc Ge Te
1 1 2
Direct
0.000 0.000 0.000
0.500 0.500 0.500
0.096 0.096 0.096
0.904 0.904 0.904

Record 5
KLaCd2Ni (PBE, relaxed); spin magnetization = 0.000 μB per formula unit; formation energy from the elements = -117 meV/atom; space-group type = P4/mmm (123); E_tot = -2.844 eV per atom
1.0
5.334 0.000 0.000
0.000 5.334 0.000
0.000 0.000 5.031
K La Cd Ni
1 1 2 1
Direct
0.000 0.000 0.000
0.500 0.500 0.000
0.000 0.500 0.500
0.500 0.000 0.500
0.500 0.500 0.500

Record 6
NdBeC (PBE, relaxed); spin magnetization = 0.000 μB per formula unit; formation energy from the elements = 155 meV/atom; space-group type = I4/mmm (139); distance to the lowest polymorph of the same formula = 74 kJ/mol of formula units; E_tot = -5.751 eV per atom
1.0
-1.912 1.912 7.714
1.912 -1.912 7.714
1.912 1.912 -7.714
Nd Be C
2 2 2
Direct
0.166 0.166 0.000
0.834 0.834 0.000
0.433 0.433 0.000
0.567 0.567 0.000
0.329 0.329 0.000
0.671 0.671 0.000

Record 7
SrPICl2 (PBE, relaxed); spin magnetization = 0.000 μB per formula unit; space-group type = P4/mmm (123); formation energy without anion corrections = -0.25 eV/atom; distance to the lowest polymorph of the same formula = 123 kJ/mol of formula units; E_tot = -2.719 eV per atom
1.0
5.474 0.000 0.000
0.000 5.474 0.000
0.000 0.000 5.350
Sr P I Cl
1 1 1 2
Direct
0.000 0.000 0.000
0.500 0.500 0.000
0.500 0.500 0.500
0.000 0.500 0.500
0.500 0.000 0.500

Record 8
ThCuSn2 (PBE, relaxed); spin magnetization = 0.000 μB per formula unit; formation energy from the elements = 592 meV/atom; space-group type = R-3m (166); E_tot = -4.288 eV per atom
1.0
2.725 1.573 6.150
-2.725 1.573 6.150
0.000 -3.147 6.150
Th Cu Sn
1 1 2
Direct
0.000 0.000 0.000
0.500 0.500 0.500
0.364 0.364 0.364
0.636 0.636 0.636

Record 9
CeYSc2Se4 (PBE, relaxed); spin magnetization = 1.012 μB per formula unit; space-group type = P2/m (10); formation energy without anion corrections = -1.69 eV/atom; E_tot = -6.560 eV per atom
1.0
6.937 0.000 0.000
0.000 3.978 0.000
-2.279 0.000 6.611
Ce Y Sc Se
1 1 2 4
Direct
0.000 0.000 0.000
0.500 0.500 0.000
0.000 0.500 0.500
0.500 0.000 0.500
0.248 0.000 0.731
0.262 0.500 0.273
0.738 0.500 0.727
0.752 0.000 0.269

Repeat the ninth record exactly.
CeYSc2Se4 (PBE, relaxed); spin magnetization = 1.012 μB per formula unit; space-group type = P2/m (10); formation energy without anion corrections = -1.69 eV/atom; E_tot = -6.560 eV per atom
1.0
6.937 0.000 0.000
0.000 3.978 0.000
-2.279 0.000 6.611
Ce Y Sc Se
1 1 2 4
Direct
0.000 0.000 0.000
0.500 0.500 0.000
0.000 0.500 0.500
0.500 0.000 0.500
0.248 0.000 0.731
0.262 0.500 0.273
0.738 0.500 0.727
0.752 0.000 0.269

- Which value of E_tot does entry 5 give?
  -2.844 eV per atom